# K2NaAsRh, relaxed, DFT PBE-GGA
# formation energy from the elements = 0.8075 eV/atom
data_K2NaAsRh
_chemical_formula_sum 'K2 Na1 As1 Rh1'
_cell_length_a 5.505
_cell_length_b 5.505
_cell_length_c 4.998
_cell_angle_alpha 90.00
_cell_angle_beta 90.00
_cell_angle_gamma 90.00
_space_group_name_H-M_alt 'P 4/m m m'
_space_group_IT_number 123
_space_group_name_Hall '-P 4 2'
loop_
_atom_site_label
_atom_site_fract_x
_atom_site_fract_y
_atom_site_fract_z
K1 0.000 0.500 0.000
Na1 0.000 0.000 0.000
As1 0.500 0.500 0.500
Rh1 0.000 0.000 0.500



# Tl3Hg8Au3, relaxed, DFT PBE-GGA
# formation energy from the elements = 0.0195 eV/atom
data_Tl3Hg8Au3
_chemical_formula_sum 'Tl6 Hg16 Au6'
_cell_length_a 14.718
_cell_length_b 12.341
_cell_length_c 4.304
_cell_angle_alpha 90.00
_cell_angle_beta 105.47
_cell_angle_gamma 90.00
_space_group_name_H-M_alt 'C 1 2/m 1'
_space_group_IT_number 12
loop_
_space_group_symop_operation_xyz
'x,y,z'
'-x,-y,-z'
'-x,y,-z'
'x,-y,z'
'x+1/2,y+1/2,z'
'-x+1/2,-y+1/2,-z'
'-x+1/2,y+1/2,-z'
'x+1/2,-y+1/2,z'
loop_
_atom_site_label
_atom_site_fract_x
_atom_site_fract_y
_atom_site_fract_z
Tl1 0.000 0.000 0.000
Tl2 0.152 0.500 0.644
Hg1 0.112 0.291 0.106
Hg2 0.194 0.123 0.693
Au1 0.000 0.185 0.500
Au2 0.000 0.500 0.000



# Tb3Dy2Y6, relaxed, DFT PBE-GGA
# formation energy from the elements = 0.0212 eV/atom
data_Tb3Dy2Y6
_chemical_formula_sum 'Tb9 Dy6 Y18'
_cell_length_a 3.5652
_cell_length_b 3.5652
_cell_length_c 95.7703
_cell_angle_alpha 90.00
_cell_angle_beta 90.00
_cell_angle_gamma 120.00
_space_group_name_H-M_alt 'R -3 m'
_space_group_IT_number 166
_space_group_name_Hall '-R 3 2"'
loop_
_atom_site_label
_atom_site_fract_x
_atom_site_fract_y
_atom_site_fract_z
Tb1 0.0000 0.0000 0.0000
Tb2 0.0000 0.0000 0.2727
Dy1 0.0000 0.0000 0.4545
Y1 0.0000 0.0000 0.0910
Y2 0.0000 0.0000 0.1819
Y3 0.0000 0.0000 0.3637



# NdSm6Y5, relaxed, DFT PBE-GGA
# formation energy from the elements = 0.0133 eV/atom
data_NdSm6Y5
_chemical_formula_sum 'Nd2 Sm12 Y10'
_cell_length_a 6.258
_cell_length_b 10.833
_cell_length_c 11.929
_cell_angle_alpha 90.00
_cell_angle_beta 100.01
_cell_angle_gamma 90.00
_space_group_name_H-M_alt 'C 1 2/m 1'
_space_group_IT_number 12
loop_
_space_group_symop_operation_xyz
'x,y,z'
'-x,-y,-z'
'-x,y,-z'
'x,-y,z'
'x+1/2,y+1/2,z'
'-x+1/2,-y+1/2,-z'
'-x+1/2,y+1/2,-z'
'x+1/2,-y+1/2,z'
loop_
_atom_site_label
_atom_site_fract_x
_atom_site_fract_y
_atom_site_fract_z
Nd1 0.000 0.000 0.000
Sm1 0.250 0.000 0.749
Sm2 0.250 0.167 0.251
Y1 0.000 0.167 0.500
Y2 0.000 0.333 0.000
Y3 0.000 0.500 0.500



no.,final energy (eV/atom)
1,-2.2955
2,-1.3623
3,-5.6042
4,-5.4369